Entry 1:
5
Lattice="-0.2107 5.1916 -1.3666 -5.3603 -0.2789 -0.2330 -0.2961 1.3543 5.1907" Properties=species:S:1:pos:R:3 comment="GaGe3Te SCAN single point on PBEsol structure" spacegroup=Pm-3m volume_a3_per_fu=155.08 raw_formation_energy_ev_per_atom=1.091 pbc="T T T"
Ge -2.6801 -0.1395 -0.1165
Ge -0.1480 0.6772 2.5953
Ge -0.1054 2.5958 -0.6833
Ga -2.9336 3.1335 1.7956
Te 0.0000 0.0000 0.0000

=====

Entry 2:
5
Lattice="-1.0822 -1.1542 4.3300 4.4634 0.1184 1.1471 -2.1201 5.3278 -1.5637" Properties=species:S:1:pos:R:3 comment="TlGa2Ge2 SCAN single point on PBEsol structure" spacegroup=I4/mmm formation_enthalpy_0k_ev_per_atom=0.099 volume_a3_per_fu=105.62 pbc="T T T"
Ge 1.5835 0.6817 3.0315
Ge -0.3224 3.6102 0.8818
Ga 2.0170 2.4641 1.1610
Ga -0.7559 1.8278 2.7524
Tl 0.0000 0.0000 0.0000

=====

Entry 3:
5
Lattice="-1.8363 -1.1956 -3.9785 2.8962 -3.4869 -0.2889 -2.9782 -2.6537 2.1721" Properties=species:S:1:pos:R:3 comment="GaGeW3 SCAN single point on PBEsol structure" spacegroup=Pm-3m formation_enthalpy_0k_ev_per_atom=2.098 volume_a3_per_fu=93.70 pbc="T T T"
W -0.9182 -0.5978 -1.9892
W -1.4891 -1.3268 1.0861
W 1.4481 -1.7434 -0.1444
Ge -0.9592 -3.6681 -1.0476
Ga 0.0000 0.0000 0.0000